# GaSeO3, relaxed, DFT PBE
data_GaSeO3
_chemical_formula_sum 'Ga4 Se4 O12'
_cell_length_a 11.986
_cell_length_b 8.922
_cell_length_c 5.442
_cell_angle_alpha 90.00
_cell_angle_beta 90.00
_cell_angle_gamma 90.00
_symmetry_space_group_name_H-M 'I m a 2'
_symmetry_Int_Tables_number 46
loop_
_symmetry_equiv_pos_as_xyz
'x,y,z'
'-x,-y,z'
'-x+1/2,y,z'
'x+1/2,-y,z'
'x+1/2,y+1/2,z+1/2'
'-x+1/2,-y+1/2,z+1/2'
'-x,y+1/2,z+1/2'
'x,-y+1/2,z+1/2'
loop_
_atom_site_label
_atom_site_fract_x
_atom_site_fract_y
_atom_site_fract_z
_atom_site_occupancy
Ga1 0.250 0.162 0.000 1
Se1 0.250 0.592 0.224 1
O1 0.143 0.011 0.856 1
O2 0.250 0.165 0.328 1
# ΔE_f (raw)   -944 meV per atom